No. 1
DFT (GGA-PBE) results for a relaxed structure of Co3Te2.

a = 9.342 Å, b = 7.464 Å, c = 6.321 Å
α = 84.89°, β = 52.74°, γ = 42.37°
Site moments in Bohr magnetons follow the coordinates.
Element x y z (fractional)
Co 0.294 0.220 0.990  1.09
Co 0.495 0.990 0.220  1.09
Co 0.260 0.755 0.956  1.09
Co 0.030 0.956 0.755  1.09
Co 0.899 0.601 0.601  1.21
Co 0.649 0.351 0.351  1.21
Te 0.763 0.068 0.620  0.00
Te 0.549 0.620 0.068  0.00
Te 0.630 0.701 0.487  0.00
Te 0.182 0.487 0.701  0.00

## Properties
D(E_F) in states/eV/cell: 11.8
Formation energy without anion corrections in meV per atom: 221
Total moment in μB/atom: 0.674

No. 2
DFT (GGA-PBE) results for a relaxed structure of CoTe2.

a = 7.113 Å, b = 7.113 Å, c = 4.358 Å
α = 90.00°, β = 90.00°, γ = 120.00°
Element x y z (fractional)
Co 0.333 0.667 0.000
Co 0.667 0.333 0.000
Co 0.000 0.000 0.500
Te 0.278 0.000 0.000
Te 0.000 0.278 0.000
Te 0.722 0.722 0.000
Te 0.613 0.000 0.500
Te 0.000 0.613 0.500
Te 0.387 0.387 0.500

## Properties
D(E_F) in states/eV/cell: 5.6
Formation energy without anion corrections in meV per atom: 300
Total moment in μB/atom: 0.000

No. 3
DFT (GGA-PBE) results for a relaxed structure of CoTe.

a = 3.689 Å, b = 3.689 Å, c = 3.152 Å
α = 90.00°, β = 90.00°, γ = 120.00°
Site moments in Bohr magnetons follow the coordinates.
Element x y z (fractional)
Co 0.000 0.000 0.000  0.45
Te 0.667 0.333 0.500  0.00

## Properties
D(E_F) in states/eV/cell: 2.4
Formation energy without anion corrections in meV per atom: 283
Total moment in μB/atom: 0.224